# SrCoRh2

Crystalline SrCoRh2 at its relaxed geometry (PBE, Alexandria via LeMat-Bulk).

Energy of formation from the pure elements in eV/atom: 0.45
Offset from the most stable computed form in meV per atom: 460
V in Å³/cell: 140

Unit cell a=4.3762 b=4.3762 c=7.2956 alpha=90.00 beta=90.00 gamma=90.00
Last column: nearest neighbours and their distance in Å.
Fractional positions:
Sr: 0.0000 0.0000 0.0000  4 Co 2.85, 8 Rh 2.85-3.09
Sr: 0.5000 0.5000 0.5000  4 Co 2.85, 8 Rh 2.85-3.09
Co: 0.0000 0.5000 0.7500  8 Rh 2.85-3.09, 4 Sr 2.85
Co: 0.5000 0.0000 0.2500  8 Rh 2.85-3.09, 4 Sr 2.85
Rh: 0.0000 0.0000 0.5000  4 Co 2.85, 4 Rh 2.85, 4 Sr 3.09
Rh: 0.0000 0.5000 0.2500  4 Rh 2.85, 4 Sr 2.85, 4 Co 3.09
Rh: 0.5000 0.0000 0.7500  4 Rh 2.85, 4 Sr 2.85, 4 Co 3.09
Rh: 0.5000 0.5000 0.0000  4 Co 2.85, 4 Rh 2.85, 4 Sr 3.09

---

# SrCo2Rh

Crystalline SrCo2Rh at its relaxed geometry (PBE, Alexandria via LeMat-Bulk).

Energy of formation from the pure elements in eV/atom: 0.54
V in Å³/cell: 141

Unit cell a=3.0281 b=4.8321 c=9.6264 alpha=90.00 beta=90.00 gamma=90.00
Last column: nearest neighbours and their distance in Å.
Fractional positions:
Sr: 0.0000 0.0000 0.0000  4 Rh 2.85, 2 Sr 3.03, 8 Co 3.12-3.19
Sr: 0.5000 0.5000 0.5000  4 Rh 2.85, 2 Sr 3.03, 8 Co 3.12-3.19
Co: 0.0000 0.5000 0.2167  2 Rh 2.58
Co: 0.0000 0.5000 0.7833  2 Rh 2.58
Co: 0.5000 0.0000 0.2833  2 Rh 2.58
Co: 0.5000 0.0000 0.7167  2 Rh 2.58
Rh: 0.0000 0.0000 0.5000  4 Co 2.58, 4 Sr 2.85
Rh: 0.5000 0.5000 0.0000  4 Co 2.58, 4 Sr 2.85

---

# SrCoRh2

Crystalline SrCoRh2 at its relaxed geometry (PBE, Alexandria via LeMat-Bulk).

Energy of formation from the pure elements in eV/atom: 0.28
Offset from the most stable computed form in meV per atom: 296
V in Å³/cell: 73

Unit cell a=2.9522 b=4.3060 c=5.9517 alpha=90.00 beta=104.29 gamma=90.00
Last column: nearest neighbours and their distance in Å.
Fractional positions:
Sr: 0.0000 0.0000 0.0000  3 Rh 2.94-3.19, 2 Sr 2.95, 4 Co 3.12
Co: 0.6474 0.5000 0.2957  4 Rh 2.43-2.52
Rh: 0.3235 0.5000 0.6492  2 Co 2.52, 4 Rh 2.76-2.77
Rh: 0.7446 0.0000 0.4911  2 Co 2.43

---

- energy of formation from the pure elements of number 1 (SrCoRh2)?
  0.45 eV/atom

---

- Which of these has the highest energy of formation from the pure elements?
  SrCo2Rh